1.
The following is a DFT calculation (GGA-PBE) of a relaxed BeTl2SnTe4 crystal.

abc: 7.849 7.851 7.202
angles: 123.00 122.98 90.07
Fractional coordinates of all 8 atoms:
Te 0.322 0.757 0.178
Te 0.856 0.421 0.178
Te 0.715 0.616 0.766
Te 0.051 0.150 0.766
Be 0.986 0.486 0.972
Tl 0.235 0.235 0.471
Tl 0.485 0.985 0.970
Sn 0.736 0.736 0.472

## Properties
Raw formation energy: -0.2342 eV per atom
ρ: 6.1 Mg/m³
Final energy: -3.3627 eV per atom


2.
The following is a DFT calculation (GGA-PBE) of a relaxed Be2ZnSnTe crystal.

abc: 4.391 5.778 4.391
angles: 90.00 90.00 90.00
Fractional coordinates of all 5 atoms:
Be 0.000 0.000 0.500
Be 0.500 0.000 0.000
Zn 0.000 0.000 0.000
Te 0.000 0.500 0.000
Sn 0.500 0.500 0.500

## Properties
Raw formation energy: 0.6984 eV per atom
ρ: 4.9 Mg/m³
Density of states at the Fermi level: 0.4803 states/eV per atom
Final energy: -2.4758 eV per atom


3.
The following is a DFT calculation (GGA-PBE) of a relaxed Th2BeSn crystal.

abc: 3.355 3.355 11.781
angles: 81.82 81.82 60.00
Fractional coordinates of all 4 atoms:
Th 0.914 0.914 0.258
Th 0.086 0.086 0.742
Be 0.000 0.000 0.000
Sn 0.500 0.500 0.500

## Properties
ρ: 8.7 Mg/m³
Density of states at the Fermi level: 1.0842 states/eV per atom
Final energy: -5.0464 eV per atom
E_form: 0.596 eV per atom


4.
The following is a DFT calculation (GGA-PBE) of a relaxed Ti12BeSn6 crystal.

abc: 7.047 7.047 7.047
angles: 91.57 91.57 91.57
Fractional coordinates of all 19 atoms:
Be 0.000 0.000 0.000
Ti 0.451 0.795 0.530
Ti 0.530 0.451 0.795
Ti 0.205 0.470 0.549
Ti 0.858 0.630 0.937
Ti 0.470 0.549 0.205
Ti 0.795 0.530 0.451
Ti 0.370 0.063 0.142
Ti 0.142 0.370 0.063
Ti 0.063 0.142 0.370
Ti 0.937 0.858 0.630
Ti 0.549 0.205 0.470
Ti 0.630 0.937 0.858
Sn 0.258 0.718 0.877
Sn 0.282 0.123 0.742
Sn 0.718 0.877 0.258
Sn 0.877 0.258 0.718
Sn 0.742 0.282 0.123
Sn 0.123 0.742 0.282

## Properties
ρ: 6.2 Mg/m³
Density of states at the Fermi level: 1.0814 states/eV per atom
Final energy: -6.5899 eV per atom
E_form: -0.143 eV per atom


5.
The following is a DFT calculation (GGA-PBE) of a relaxed TiBe3Sn crystal.

abc: 4.495 4.495 4.495
angles: 90.00 90.00 90.00
Fractional coordinates of all 5 atoms:
Be 0.000 0.000 0.500
Be 0.500 0.000 0.000
Be 0.000 0.500 0.000
Ti 0.000 0.000 0.000
Sn 0.500 0.500 0.500

## Properties
ρ: 3.5 Mg/m³
Density of states at the Fermi level: 0.9681 states/eV per atom
Final energy: -3.2455 eV per atom
Relative energy among the computed polymorphs: 0.063 eV per atom
E_form: 1.370 eV per atom


6.
The following is a DFT calculation (GGA-PBE) of a relaxed Ti2BeSn crystal.

abc: 4.523 4.523 4.523
angles: 60.00 60.00 60.00
Fractional coordinates of all 4 atoms:
Be 0.000 0.000 0.000
Ti 0.750 0.750 0.750
Ti 0.250 0.250 0.250
Sn 0.500 0.500 0.500

## Properties
ρ: 5.7 Mg/m³
Density of states at the Fermi level: 1.4634 states/eV per atom
Final energy: -5.8538 eV per atom
Relative energy among the computed polymorphs: 0.205 eV per atom
E_form: 0.026 eV per atom